Entry 1:
Compound: Ac3Cd2Ag3
Source: Alexandria
Functional: PBE-GGA
Structure: relaxed

Structure (extended XYZ):
```
16
Lattice="3.964 0.000 0.000 0.000 5.561 0.000 0.000 0.000 21.293" Properties=species:S:1:pos:R:3 pbc="T T T"
Ac 0.000 0.000 0.000
Ac 0.000 2.780 2.832
Ac 0.000 2.780 18.461
Ac 1.982 0.000 7.814
Ac 1.982 0.000 13.478
Ac 1.982 2.780 10.646
Cd 0.000 0.000 4.975
Cd 0.000 0.000 16.317
Cd 1.982 2.780 5.671
Cd 1.982 2.780 15.622
Ag 0.000 0.000 10.646
Ag 0.000 2.780 7.903
Ag 0.000 2.780 13.389
Ag 1.982 0.000 2.743
Ag 1.982 0.000 18.550
Ag 1.982 2.780 0.000
```

Values from the calculation:
Excess energy over the best structure of this formula in the dataset, meV/atom: 72
Symmetry: Immm
ΔE_f, eV/atom: -0.22

Entry 2:
Compound: Ac3Cd8Ag3
Source: Alexandria
Functional: PBE-GGA
Structure: relaxed

Structure (extended XYZ):
```
14
Lattice="-2.515 5.047 7.160 2.515 -5.047 7.160 2.515 5.047 -7.160" Properties=species:S:1:pos:R:3 pbc="T T T"
Ac 0.000 0.000 0.000
Ac 0.000 0.000 4.270
Ac 0.000 0.000 10.050
Cd 2.515 -1.441 2.276
Cd 2.515 -2.136 5.302
Cd 2.515 1.441 2.276
Cd 0.000 2.911 1.858
Cd 2.515 2.136 5.302
Cd 0.000 3.606 4.885
Cd 0.000 7.183 1.858
Cd 0.000 6.488 4.885
Ag 2.515 3.239 0.000
Ag 0.000 5.047 0.000
Ag 0.000 1.808 7.160
```

Values from the calculation:
Symmetry: Immm
ΔE_f, eV/atom: -0.26

Entry 3:
Compound: AcCd2Ag4
Source: Alexandria
Functional: PBE-GGA
Structure: relaxed

Structure (extended XYZ):
```
14
Lattice="7.385 0.000 0.000 0.000 7.385 0.000 0.000 0.000 5.718" Properties=species:S:1:pos:R:3 pbc="T T T"
Ac 0.000 0.000 0.000
Ac 3.693 3.693 2.859
Cd 0.000 3.693 1.429
Cd 0.000 3.693 4.288
Cd 3.693 0.000 1.429
Cd 3.693 0.000 4.288
Ag 1.414 1.414 2.859
Ag 1.414 5.972 2.859
Ag 2.279 2.279 0.000
Ag 2.279 5.106 0.000
Ag 5.106 2.279 0.000
Ag 5.106 5.106 0.000
Ag 5.972 1.414 2.859
Ag 5.972 5.972 2.859
```

Values from the calculation:
Excess energy over the best structure of this formula in the dataset, meV/atom: 0
Symmetry: I4/mmm
ΔE_f, eV/atom: -0.23

Among the records above, which one has the highest ΔE_f? Ac3Cd2Ag3